# 1
A plane-wave DFT calculation with GGA-PBE was carried out for a geometry-optimized K2TeClF5 structure.

Unit cell a=4.7338 b=10.7864 c=15.4036 alpha=90.00 beta=106.92 gamma=90.00
Closest atoms and distances in Å follow each position.
Atoms (fractional coordinates):
K1 0.1458 0.0771 0.3945  3 F 2.66-2.75
K2 0.1458 0.4229 0.8945  3 F 2.66-2.75
K3 0.1803 0.6607 0.4202  4 F 2.75-2.97
K4 0.1803 0.8393 0.9202  4 F 2.75-2.97
K5 0.8197 0.1607 0.0798  4 F 2.75-2.97
K6 0.8197 0.3393 0.5798  4 F 2.75-2.97
K7 0.8542 0.5771 0.1055  3 F 2.66-2.75
K8 0.8542 0.9229 0.6055  3 F 2.66-2.75
Te1 0.3270 0.6317 0.6837  5 F 1.94-2.05
Te2 0.3270 0.8683 0.1837  5 F 1.94-2.05
Te3 0.6730 0.1317 0.8163  5 F 1.94-2.05
Te4 0.6730 0.3683 0.3163  5 F 1.94-2.05
Cl1 0.3345 0.1263 0.6028  5 K 3.12-3.34, 1 Te 3.21, 2 F 3.31-3.43
Cl2 0.3345 0.3737 0.1028  5 K 3.12-3.34, 1 Te 3.21, 2 F 3.31-3.43
Cl3 0.6655 0.6263 0.8972  5 K 3.12-3.34, 1 Te 3.21, 2 F 3.31-3.43
Cl4 0.6655 0.8737 0.3972  5 K 3.12-3.34, 1 Te 3.21, 2 F 3.31-3.43
F1 0.0481 0.1390 0.9099  1 Te 1.94
F2 0.0481 0.3610 0.4099  1 Te 1.94
F3 0.1096 0.0028 0.2266  1 Te 2.00
F4 0.1096 0.4972 0.7266  1 Te 2.00
F5 0.1158 0.7447 0.2395  1 Te 2.00
F6 0.1158 0.7553 0.7395  1 Te 2.00
F7 0.3892 0.5029 0.5944  1 Te 2.03
F8 0.3892 0.9971 0.0945  1 Te 2.03
F9 0.3925 0.7260 0.1036  1 Te 2.05
F10 0.3925 0.7740 0.6036  1 Te 2.05
F11 0.6075 0.2260 0.3964  1 Te 2.05
F12 0.6075 0.2740 0.8964  1 Te 2.05
F13 0.6108 0.0029 0.9056  1 Te 2.03
F14 0.6108 0.4971 0.4056  1 Te 2.03
F15 0.8842 0.2447 0.2605  1 Te 2.00
F16 0.8842 0.2553 0.7605  1 Te 2.00
F17 0.8904 0.5028 0.2734  1 Te 2.00
F18 0.8904 0.9972 0.7734  1 Te 2.00
F19 0.9519 0.6390 0.5901  1 Te 1.94
F20 0.9519 0.8610 0.0901  1 Te 1.94

Computed properties:
* D(E_F): 0.000 states/eV per atom
* crystal system: monoclinic
* electronic total energy: -4.17 eV per atom
* formation energy from raw total energies: -2331 meV per atom

=====

# 2
A plane-wave DFT calculation with GGA-PBE was carried out for a geometry-optimized K2TeCl4F2 structure.

Unit cell a=6.8117 b=6.8117 c=5.7699 alpha=101.33 beta=101.33 gamma=65.46
Closest atoms and distances in Å follow each position.
Atoms (fractional coordinates):
K1 0.1759 0.1759 0.3096  1 F 2.70
K2 0.8241 0.8241 0.6904  1 F 2.70
Te1 0.5000 0.5000 0.0000  2 F 2.08
Cl1 0.1475 0.6570 0.1965  1 Te 2.58
Cl2 0.3430 0.8525 0.8035  1 Te 2.58
Cl3 0.6570 0.1475 0.1965  1 Te 2.58
Cl4 0.8525 0.3430 0.8035  1 Te 2.58
F1 0.3513 0.3513 0.7140  1 Te 2.08
F2 0.6487 0.6487 0.2860  1 Te 2.08

Computed properties:
* D(E_F): 0.000 states/eV per atom
* crystal system: monoclinic
* electronic total energy: -3.47 eV per atom
* formation energy from raw total energies: -1641 meV per atom

=====

# 3
A plane-wave DFT calculation with GGA-PBE was carried out for a geometry-optimized K2TiCl2F4 structure.

Unit cell a=6.3929 b=6.3929 c=6.3929 alpha=118.73 beta=118.73 gamma=92.22
Closest atoms and distances in Å follow each position.
Atoms (fractional coordinates):
K1 0.2500 0.7500 0.5000  8 F 3.22, 4 Cl 3.26
K2 0.7500 0.2500 0.5000  8 F 3.22, 4 Cl 3.26
Ti1 0.0000 0.0000 0.0000  4 F 1.88
Cl1 0.2698 0.2698 0.0000  1 Ti 2.39
Cl2 0.7302 0.7302 0.0000  1 Ti 2.39
F1 0.2036 0.2036 0.4072  1 Ti 1.88
F2 0.2036 0.7964 0.0000  1 Ti 1.88
F3 0.7964 0.2036 0.0000  1 Ti 1.88
F4 0.7964 0.7964 0.5928  1 Ti 1.88

Computed properties:
* D(E_F): 0.000 states/eV per atom
* crystal system: tetragonal
* electronic total energy: -5.11 eV per atom
* formation energy from raw total energies: -2747 meV per atom

=====

# 4
A plane-wave DFT calculation with GGA-PBE was carried out for a geometry-optimized K2TlClF structure.

Unit cell a=6.8004 b=6.8004 c=5.5693 alpha=90.00 beta=90.00 gamma=90.00
Closest atoms and distances in Å follow each position.
Atoms (fractional coordinates):
K1 0.0000 0.5000 0.0000  2 Tl 3.40
K2 0.5000 0.0000 0.0000  2 Tl 3.40
Tl1 0.0000 0.0000 0.0000  2 Cl 2.78
Cl1 0.0000 0.0000 0.5000  2 Tl 2.78
F1 0.5000 0.5000 0.5000  8 K 4.39, 4 Cl 4.81

Computed properties:
* D(E_F): 0.479 states/eV per atom
* crystal system: tetragonal
* electronic total energy: -2.49 eV per atom
* formation energy from raw total energies: -831 meV per atom

=====

Copy entry 3 word for word.
A plane-wave DFT calculation with GGA-PBE was carried out for a geometry-optimized K2TiCl2F4 structure.

Unit cell a=6.3929 b=6.3929 c=6.3929 alpha=118.73 beta=118.73 gamma=92.22
Closest atoms and distances in Å follow each position.
Atoms (fractional coordinates):
K1 0.2500 0.7500 0.5000  8 F 3.22, 4 Cl 3.26
K2 0.7500 0.2500 0.5000  8 F 3.22, 4 Cl 3.26
Ti1 0.0000 0.0000 0.0000  4 F 1.88
Cl1 0.2698 0.2698 0.0000  1 Ti 2.39
Cl2 0.7302 0.7302 0.0000  1 Ti 2.39
F1 0.2036 0.2036 0.4072  1 Ti 1.88
F2 0.2036 0.7964 0.0000  1 Ti 1.88
F3 0.7964 0.2036 0.0000  1 Ti 1.88
F4 0.7964 0.7964 0.5928  1 Ti 1.88

Computed properties:
* D(E_F): 0.000 states/eV per atom
* crystal system: tetragonal
* electronic total energy: -5.11 eV per atom
* formation energy from raw total energies: -2747 meV per atom